Record 1
An optimized crystal structure of Cr2PIr, computed with GGA-PBE.

* ΔH_f (0 K): -0.0959 eV per atom
* D(E_F): 7.8 states/eV/cell
* magnetization: 0.9 μB per formula unit

a b c (Å): 8.419 2.754 4.550
angles (deg): 90.00 90.46 90.00
Sites, in units of the cell vectors:
Cr  0.000  0.000  0.000
Cr  0.226  0.500  0.274
Cr  0.500  0.500  0.000
Cr  0.726  0.000  0.274
P  0.460  0.000  0.403
P  0.960  0.500  0.403
Ir  0.272  0.000  0.785
Ir  0.772  0.500  0.785

=====

Record 2
An optimized crystal structure of CrPIr, computed with GGA-PBE.

* ΔH_f (0 K): -0.2423 eV per atom
* D(E_F): 1.9 states/eV/cell
* magnetization: 0.0 μB per formula unit

a b c (Å): 3.549 4.456 5.682
angles (deg): 100.56 91.35 113.45
Sites, in units of the cell vectors:
Cr  0.000  0.000  0.000
Cr  0.482  0.189  0.273
P  0.155  0.558  0.126
P  0.440  0.065  0.691
Ir  0.135  0.462  0.696
Ir  0.777  0.787  0.404

=====

Record 3
An optimized crystal structure of CrP3Ir, computed with GGA-PBE.

* ΔH_f (0 K): 0.7978 eV per atom
* D(E_F): 3.6 states/eV/cell
* magnetization: 0.2 μB per formula unit

a b c (Å): 4.335 4.335 4.335
angles (deg): 90.00 90.00 90.00
Sites, in units of the cell vectors:
Cr  0.000  0.000  0.000
P  0.000  0.000  0.500
P  0.000  0.500  0.000
P  0.500  0.000  0.000
Ir  0.500  0.500  0.500

=====

Record 4
An optimized crystal structure of Cr2PIr, computed with GGA-PBE.

* ΔH_f (0 K): -0.1606 eV per atom
* D(E_F): 3.7 states/eV/cell
* magnetization: 0.0 μB per formula unit

a b c (Å): 2.693 3.784 4.898
angles (deg): 90.00 97.64 90.00
Sites, in units of the cell vectors:
Cr  0.077  0.000  0.278
Cr  0.923  0.000  0.722
P  0.500  0.500  0.500
Ir  0.500  0.500  0.000